1.
Density functional theory data (PBEsol) for an optimized crystal structure of MgMn4O8.

Geometry as POSCAR:
```
MgMn4O8
1.0
4.848 -2.813 0.000
4.848 2.813 0.000
-1.698 0.000 4.953
Mg Mn O
1 4 8
Direct
0.000 0.000 0.000
0.254 0.254 0.521
0.254 0.746 0.500
0.746 0.254 0.500
0.746 0.746 0.479
0.107 0.635 0.709
0.114 0.114 0.716
0.365 0.893 0.291
0.379 0.379 0.309
0.621 0.621 0.691
0.635 0.107 0.709
0.886 0.886 0.284
0.893 0.365 0.291
```

Results
As for the excess energy over the best structure of this formula in the dataset: 23 meV per atom. The density of states at the Fermi level is 6.24 states/eV per cell. For the magnetization, the calculation gives 10.00 μB/f.u. The uncorrected formation energy comes out at -1797 meV/atom. As for the mass density: 4.57 Mg/m³. The total energy comes out at -106.1 eV for the cell shown.

2.
Density functional theory data (PBEsol) for an optimized crystal structure of MgMn2O4.

Geometry as POSCAR:
```
MgMn2O4
1.0
5.586 0.000 0.000
0.000 10.680 0.000
-2.687 0.000 4.971
Mg Mn O
4 8 16
Direct
0.163 0.115 0.047
0.163 0.385 0.547
0.837 0.615 0.453
0.837 0.885 0.953
0.119 0.620 0.003
0.119 0.880 0.503
0.432 0.143 0.598
0.432 0.357 0.098
0.568 0.643 0.902
0.568 0.857 0.402
0.881 0.120 0.497
0.881 0.380 0.997
0.073 0.208 0.343
0.073 0.292 0.843
0.228 0.556 0.744
0.228 0.944 0.244
0.231 0.051 0.734
0.231 0.449 0.234
0.469 0.694 0.177
0.469 0.806 0.677
0.531 0.194 0.323
0.531 0.306 0.823
0.769 0.551 0.766
0.769 0.949 0.266
0.772 0.056 0.756
0.772 0.444 0.256
0.927 0.708 0.157
0.927 0.792 0.657
```

Results
As for the excess energy over the best structure of this formula in the dataset: 46 meV per atom. For the magnetization, the calculation gives 8.00 μB/f.u. The uncorrected formation energy comes out at -1871 meV/atom. As for the mass density: 4.44 Mg/m³. The total energy comes out at -221.3 eV for the cell shown.

3.
Density functional theory data (PBEsol) for an optimized crystal structure of MgMnO3.

Geometry as POSCAR:
```
MgMnO3
1.0
3.795 0.000 0.000
0.000 3.795 0.000
0.000 0.000 3.795
Mg Mn O
1 1 3
Direct
0.000 0.000 0.000
0.500 0.500 0.500
0.000 0.000 0.500
0.000 0.500 0.000
0.500 0.000 0.000
```

Results
The density of states at the Fermi level is 3.05 states/eV per cell. For the magnetization, the calculation gives 3.00 μB/f.u. The uncorrected formation energy comes out at -731 meV/atom. As for the mass density: 3.87 Mg/m³. The total energy comes out at -30.9 eV for the cell shown.

4.
Density functional theory data (PBEsol) for an optimized crystal structure of MgMnO2.

Geometry as POSCAR:
```
MgMnO2
1.0
1.527 0.882 5.000
-1.527 0.882 5.000
0.000 -1.764 5.000
Mg Mn O
1 1 2
Direct
0.000 0.000 0.000
0.500 0.500 0.500
0.254 0.254 0.254
0.746 0.746 0.746
```

Results
For the magnetization, the calculation gives 5.00 μB/f.u. The uncorrected formation energy comes out at -1916 meV/atom. As for the mass density: 4.57 Mg/m³. The total energy comes out at -29.6 eV for the cell shown.